LiMn2SnPb | Alexandria via LeMat-Bulk | PBE | relaxed; N(E_F) = 2.638 states/eV/cell; symmetry = P4/mmm; crystal system = tetragonal; total moment = 7.76 μB/f.u.; formation energy = 0.801 eV/atom
1.0
5.098 0.000 0.000
0.000 5.098 0.000
0.000 0.000 5.933
Li Mn Sn Pb
1 2 1 1
direct
0.000 0.000 0.000 Li
0.000 0.500 0.500 Mn
0.500 0.000 0.500 Mn
0.500 0.500 0.500 Sn
0.500 0.500 0.000 Pb

---

LiMnPd | Alexandria via LeMat-Bulk | PBE | relaxed; N(E_F) = 3.113 states/eV/cell; symmetry = Amm2; crystal system = orthorhombic; total moment = 0.00 μB/f.u.; formation energy = -0.005 eV/atom
1.0
4.405 0.000 0.000
0.000 1.508 5.918
0.000 -1.508 5.918
Li Mn Pd
2 2 2
direct
0.000 0.000 0.000 Li
0.000 0.334 0.334 Li
0.500 0.154 0.154 Mn
0.500 0.535 0.535 Mn
0.000 0.668 0.668 Pd
0.500 0.849 0.849 Pd

---

Please write out number 1 again, unchanged.
LiMn2SnPb | Alexandria via LeMat-Bulk | PBE | relaxed; N(E_F) = 2.638 states/eV/cell; symmetry = P4/mmm; crystal system = tetragonal; total moment = 7.76 μB/f.u.; formation energy = 0.801 eV/atom
1.0
5.098 0.000 0.000
0.000 5.098 0.000
0.000 0.000 5.933
Li Mn Sn Pb
1 2 1 1
direct
0.000 0.000 0.000 Li
0.000 0.500 0.500 Mn
0.500 0.000 0.500 Mn
0.500 0.500 0.500 Sn
0.500 0.500 0.000 Pb